[1]
NdSm2Y3P6: relaxed, PBE.

Cell and atoms, written as POSCAR:
```
NdSm2Y3P6
1.0
3.527 -6.108 0.000
3.527 6.108 0.000
-2.349 0.000 6.647
Nd Sm Y P
1 2 3 6
Cartesian
0.000 0.000 0.000
3.527 2.037 0.000
3.527 -2.037 0.000
2.353 4.076 3.323
2.353 0.000 3.323
2.353 -4.076 3.323
1.183 2.048 1.705
0.015 0.000 4.942
1.183 -2.048 1.705
3.522 2.048 4.941
4.690 0.000 1.705
3.522 -2.048 4.941
```

* DFT formation energy: -1.59 eV/atom
* mass density: 5.20 g/cm3
* symmetry: C2/m
* VASP energy: -7.0955 eV/atom

=====

[2]
Li6In2Hg: relaxed, PBE.

Cell and atoms, written as POSCAR:
```
Li6In2Hg
1.0
6.920 -4.040 0.000
6.920 4.040 0.000
-0.006 0.000 2.918
Li In Hg
6 2 1
Cartesian
4.621 1.341 2.918
6.920 2.684 0.000
4.621 -1.341 2.918
9.214 1.341 0.000
6.920 -2.684 0.000
9.214 -1.341 0.000
2.309 0.000 1.459
11.526 0.000 1.459
6.917 0.000 1.459
```

* DFT formation energy: -0.27 eV/atom
* mass density: 4.80 g/cm3
* symmetry: C2/m
* VASP energy: -2.1907 eV/atom

=====

[3]
LiHoNpS4: relaxed, PBE.

Cell and atoms, written as POSCAR:
```
LiHoNpS4
1.0
-3.928 4.001 5.566
3.928 -4.001 5.566
3.928 4.001 -5.566
Li Ho Np S
2 2 2 8
Cartesian
0.000 2.000 1.479
3.928 2.000 4.086
1.964 2.000 -2.783
1.964 -2.000 2.783
3.928 0.000 0.000
0.000 0.000 5.566
3.928 -0.112 2.675
2.109 2.000 -0.052
5.747 2.000 -0.052
3.928 3.889 -2.675
0.000 0.112 8.241
-1.819 2.000 5.617
1.819 2.000 5.617
0.000 4.113 2.890
```

* mass density: 5.10 g/cm3
* formation energy without anion corrections: -1065 kJ/mol of formula units
* symmetry: Imma
* VASP energy: -6.7107 eV/atom

=====

[4]
TaZn2W: relaxed, PBE.

Cell and atoms, written as POSCAR:
```
TaZn2W
1.0
2.808 0.000 0.000
0.000 4.327 0.000
-0.796 0.000 5.185
Ta Zn W
1 2 1
Cartesian
0.000 0.000 0.000
0.625 0.000 2.622
0.569 2.163 3.969
1.953 2.163 1.447
```

* DFT formation energy: 0.11 eV/atom
* mass density: 13.07 g/cm3
* symmetry: Pm
* VASP energy: -6.7244 eV/atom

=====

[5]
LiTaNb: relaxed, PBE.

Cell and atoms, written as POSCAR:
```
LiTaNb
1.0
2.791 0.000 0.000
1.160 5.299 0.000
0.991 1.300 7.373
Li Ta Nb
2 2 2
Cartesian
0.984 1.304 0.002
3.958 5.296 7.371
1.004 1.315 4.817
3.938 5.285 2.556
1.990 2.642 2.522
2.952 3.957 4.852
```

* DFT formation energy: 0.24 eV/atom
* mass density: 8.55 g/cm3
* symmetry: P-1
* VASP energy: -7.7082 eV/atom

=====

[6]
HgPH4: relaxed, PBE.

Cell and atoms, written as POSCAR:
```
HgPH4
1.0
3.351 0.000 0.000
1.666 5.078 0.000
1.665 -0.337 5.137
Hg P H
1 1 4
Cartesian
0.000 0.000 0.000
1.672 2.228 2.413
2.680 3.365 2.253
2.680 1.989 3.536
4.015 3.365 2.253
4.015 1.989 3.536
```

* mass density: 4.48 g/cm3
* symmetry: P1
* VASP energy: -2.8444 eV/atom

=====

[7]
BaMnPt4: relaxed, PBE.

Cell and atoms, written as POSCAR:
```
BaMnPt4
1.0
0.000 3.892 3.892
3.892 0.000 3.892
3.892 3.892 0.000
Ba Mn Pt
1 1 4
Cartesian
0.000 0.000 0.000
5.839 5.839 5.839
2.926 2.926 2.926
4.859 4.859 2.926
4.859 2.926 4.859
2.926 4.859 4.859
```

* DFT formation energy: -0.30 eV/atom
* mass density: 13.69 g/cm3
* symmetry: F-43m
* VASP energy: -6.1785 eV/atom

=====

[8]
Tl3HgN: relaxed, PBE.

Cell and atoms, written as POSCAR:
```
Tl3HgN
1.0
5.692 0.000 0.000
0.000 5.692 0.000
0.000 0.000 5.692
Tl Hg N
3 1 1
Cartesian
0.000 0.000 2.846
0.000 2.846 0.000
2.846 0.000 0.000
0.000 0.000 0.000
2.846 2.846 2.846
```

* mass density: 7.45 g/cm3
* formation energy without anion corrections: 680 kJ/mol of formula units
* symmetry: Pm-3m
* VASP energy: -1.7355 eV/atom

=====

Q: Look up the VASP energy of the sixth one.
A: -2.8444 eV/atom